# K2PdO3

K2PdO3 after structural relaxation (PBE, Alexandria via LeMat-Bulk).

Computed properties:
The calculation puts the formation energy without anion corrections at -5.811 eV/f.u. The value obtained for the uncorrected energy is -4.68 eV/atom. For the magnetic moment, the calculation gives 0.00 μB/cell.

CIF file:
```
data_K2PdO3
_cell_length_a 6.0644
_cell_length_b 6.0644
_cell_length_c 5.7703
_cell_angle_alpha 90.00
_cell_angle_beta 90.00
_cell_angle_gamma 120.00
_symmetry_space_group_name_H-M 'P 63/m c m'
_symmetry_Int_Tables_number 193
_symmetry_space_group_name_Hall '-P 6c 2'
loop_
_atom_site_label
_atom_site_fract_x
_atom_site_fract_y
_atom_site_fract_z
K1 0.3333 0.6667 0.0000
Pd1 0.0000 0.0000 0.0000
O1 0.0000 0.2475 0.2500
```


# Pm3Ho2N4

Pm3Ho2N4 after structural relaxation (PBE, Alexandria via LeMat-Bulk).

Computed properties:
The calculation puts the formation energy without anion corrections at -12.386 eV/f.u. The value obtained for the uncorrected energy is -7.68 eV/atom. For the magnetic moment, the calculation gives 0.00 μB/cell.

CIF file:
```
data_Pm3Ho2N4
_cell_length_a 6.129
_cell_length_b 3.539
_cell_length_c 14.827
_cell_angle_alpha 90.00
_cell_angle_beta 90.08
_cell_angle_gamma 90.00
_symmetry_space_group_name_H-M 'C 1 2/m 1'
_symmetry_Int_Tables_number 12
_symmetry_space_group_name_Hall '-C 2y'
loop_
_atom_site_label
_atom_site_fract_x
_atom_site_fract_y
_atom_site_fract_z
Pm1 0.000 0.000 0.000
Pm2 0.166 0.500 0.620
Ho1 0.167 0.500 0.190
N1 0.001 0.000 0.294
N2 0.166 0.500 0.896
```


# NdGa2PdAu5

NdGa2PdAu5 after structural relaxation (PBE, Alexandria via LeMat-Bulk).

Computed properties:
For the formation energy, the calculation gives -2.296 eV/f.u. The value obtained for the uncorrected energy is -3.86 eV/atom. For the magnetic moment, the calculation gives 0.00 μB/cell.

CIF file:
```
data_NdGa2PdAu5
_cell_length_a 4.947
_cell_length_b 4.947
_cell_length_c 7.477
_cell_angle_alpha 90.00
_cell_angle_beta 90.00
_cell_angle_gamma 90.00
_symmetry_space_group_name_H-M 'P 4/m m m'
_symmetry_Int_Tables_number 123
_symmetry_space_group_name_Hall '-P 4 2'
loop_
_atom_site_label
_atom_site_fract_x
_atom_site_fract_y
_atom_site_fract_z
Nd1 0.000 0.000 0.000
Ga1 0.500 0.500 0.342
Pd1 0.000 0.000 0.500
Au1 0.000 0.500 0.263
Au2 0.500 0.500 0.000
```


# Sc5SbC

Sc5SbC after structural relaxation (PBE, Alexandria via LeMat-Bulk).

Computed properties:
The calculation puts the formation energy without anion corrections at -2.189 eV/f.u. The value obtained for the uncorrected energy is -6.74 eV/atom. For the magnetic moment, the calculation gives 0.00 μB/cell.

CIF file:
```
data_Sc5SbC
_cell_length_a 10.832
_cell_length_b 7.530
_cell_length_c 8.672
_cell_angle_alpha 90.00
_cell_angle_beta 113.09
_cell_angle_gamma 90.00
_symmetry_space_group_name_H-M 'C 1 2/c 1'
_symmetry_Int_Tables_number 15
_symmetry_space_group_name_Hall '-C 2yc'
loop_
_atom_site_label
_atom_site_fract_x
_atom_site_fract_y
_atom_site_fract_z
Sc1 0.000 0.054 0.250
Sc2 0.088 0.273 0.977
Sc3 0.209 0.108 0.638
Sb1 0.000 0.424 0.250
C1 0.000 0.000 0.000
```


# Ta5NbRh

Ta5NbRh after structural relaxation (PBE, Alexandria via LeMat-Bulk).

Computed properties:
For the formation energy, the calculation gives 0.720 eV/f.u. The value obtained for the uncorrected energy is -10.85 eV/atom. For the magnetic moment, the calculation gives 0.00 μB/cell.

CIF file:
```
data_Ta5NbRh
_cell_length_a 4.579
_cell_length_b 4.579
_cell_length_c 6.355
_cell_angle_alpha 90.00
_cell_angle_beta 90.00
_cell_angle_gamma 90.00
_symmetry_space_group_name_H-M 'P 4/m m m'
_symmetry_Int_Tables_number 123
_symmetry_space_group_name_Hall '-P 4 2'
loop_
_atom_site_label
_atom_site_fract_x
_atom_site_fract_y
_atom_site_fract_z
Ta1 0.000 0.000 0.000
Ta2 0.000 0.500 0.259
Nb1 0.500 0.500 0.000
Rh1 0.500 0.500 0.500
```


# NdH2Ir

NdH2Ir after structural relaxation (PBE, Alexandria via LeMat-Bulk).

Computed properties:
The value obtained for the uncorrected energy is -5.52 eV/atom. For the magnetic moment, the calculation gives 0.00 μB/cell.

CIF file:
```
data_NdH2Ir
_cell_length_a 4.1805
_cell_length_b 4.1805
_cell_length_c 11.3425
_cell_angle_alpha 90.00
_cell_angle_beta 90.00
_cell_angle_gamma 120.00
_symmetry_space_group_name_H-M 'R -3 m'
_symmetry_Int_Tables_number 166
_symmetry_space_group_name_Hall '-R 3 2"'
loop_
_atom_site_label
_atom_site_fract_x
_atom_site_fract_y
_atom_site_fract_z
Nd1 0.0000 0.0000 0.0000
H1 0.0000 0.0000 0.3513
Ir1 0.0000 0.0000 0.5000
```


# YBrO

YBrO after structural relaxation (PBE, Alexandria via LeMat-Bulk).

Computed properties:
The calculation puts the formation energy without anion corrections at -7.475 eV/f.u. The value obtained for the uncorrected energy is -6.86 eV/atom. For the magnetic moment, the calculation gives 0.00 μB/cell.

CIF file:
```
data_YBrO
_cell_length_a 3.6239
_cell_length_b 3.6239
_cell_length_c 18.9936
_cell_angle_alpha 90.00
_cell_angle_beta 90.00
_cell_angle_gamma 120.00
_symmetry_space_group_name_H-M 'R 3 m'
_symmetry_Int_Tables_number 160
_symmetry_space_group_name_Hall 'R 3 -2"'
loop_
_atom_site_label
_atom_site_fract_x
_atom_site_fract_y
_atom_site_fract_z
Y1 0.0000 0.0000 0.0000
Br1 0.0000 0.0000 0.5525
O1 0.0000 0.0000 0.7058
```


# Be3CdS

Be3CdS after structural relaxation (PBE, Alexandria via LeMat-Bulk).

Computed properties:
The calculation puts the formation energy without anion corrections at 6.192 eV/f.u. The value obtained for the uncorrected energy is -2.01 eV/atom. For the magnetic moment, the calculation gives 0.00 μB/cell. The calculation puts the excess energy over the best structure of this formula in the dataset at 588 meV per atom.

CIF file:
```
data_Be3CdS
_cell_length_a 4.472
_cell_length_b 4.472
_cell_length_c 4.472
_cell_angle_alpha 90.00
_cell_angle_beta 90.00
_cell_angle_gamma 90.00
_symmetry_space_group_name_H-M 'P m -3 m'
_symmetry_Int_Tables_number 221
_symmetry_space_group_name_Hall '-P 4 2 3'
loop_
_atom_site_label
_atom_site_fract_x
_atom_site_fract_y
_atom_site_fract_z
Be1 0.000 0.000 0.500
Cd1 0.000 0.000 0.000
S1 0.500 0.500 0.500
```